Record 1
Density functional theory data (PBE) for a relaxed structure of TbLuAu.

Cell lengths 4.866, 4.866, 3.804 Å; angles 90.00, 90.00, 120.00 degrees
Fractional positions:
Tb1 0.000 0.000 0.000
Lu1 0.333 0.667 0.479
Au1 0.667 0.333 0.690

Calculated values
Offset from the most stable computed form, meV/atom: 114
Final energy, Ry per atom: -0.3363
M_tot, μB per formula unit: 0.000
Mass density, Mg/m³: 11.3
Energy of formation, eV per atom: -0.433
Symmetry: P3m1

=====

Record 2
Density functional theory data (PBE) for a relaxed structure of TbLuAu.

Cell lengths 4.932, 4.932, 4.932 Å; angles 60.00, 60.00, 60.00 degrees
Fractional positions:
Tb1 0.000 0.000 0.000
Lu1 0.500 0.500 0.500
Au1 0.750 0.750 0.750

Calculated values
Offset from the most stable computed form, meV/atom: 79
Final energy, Ry per atom: -0.3389
M_tot, μB per formula unit: 0.002
Mass density, Mg/m³: 10.4
Energy of formation, eV per atom: -0.468
Symmetry: F-43m